DFT (GGA-PBE) results for crystalline Er2MgZr at its relaxed geometry.

a = 5.316 Å, b = 5.316 Å, c = 5.316 Å
α = 60.00°, β = 60.00°, γ = 60.00°
Positions (direct):
Er  0.250  0.250  0.250
Er  0.750  0.750  0.750
Mg  0.000  0.000  0.000
Zr  0.500  0.500  0.500

Computed properties:
D(E_F): 5.93 states/eV/cell
Energy of formation from the pure elements: 0.130 eV per atom
Relative energy among the computed polymorphs: 148.7 meV per atom